# 1
# BaIn2HRh, PBEsol geometry, DFT SCAN
# Total energy   -137.17 eV for the cell shown
# Total moment   0.11 μB per formula unit
# N(E_F)   3.69 states/eV/f.u.
data_BaIn2HRh
_cell_length_a 5.908
_cell_length_b 5.908
_cell_length_c 3.938
_cell_angle_alpha 90.00
_cell_angle_beta 90.00
_cell_angle_gamma 90.00
_space_group_name_H-M_alt 'P 4/m m m'
_space_group_IT_number 123
_space_group_name_Hall '-P 4 2'
loop_
_atom_site_label
_atom_site_type_symbol
_atom_site_fract_x
_atom_site_fract_y
_atom_site_fract_z
Ba1 Ba 0.000 0.000 0.000
In1 In 0.000 0.500 0.000
H1 H 0.000 0.000 0.500
Rh1 Rh 0.500 0.500 0.500

=====

# 2
# BaHIr, PBEsol geometry, DFT SCAN
# Total energy   -230.76 eV for the cell shown
# Total moment   0.00 μB per formula unit
# N(E_F)   0.76 states/eV/f.u.
data_BaHIr
_cell_length_a 4.600
_cell_length_b 4.259
_cell_length_c 7.183
_cell_angle_alpha 90.00
_cell_angle_beta 108.61
_cell_angle_gamma 90.00
_space_group_name_H-M_alt 'P 1 21/m 1'
_space_group_IT_number 11
loop_
_space_group_symop_operation_xyz
'x,y,z'
'-x,-y,-z'
'-x,y+1/2,-z'
'x,-y+1/2,z'
loop_
_atom_site_label
_atom_site_type_symbol
_atom_site_fract_x
_atom_site_fract_y
_atom_site_fract_z
Ba1 Ba 0.129 0.250 0.261
H1 H 0.345 0.250 0.666
Ir1 Ir 0.459 0.250 0.914